{"formula": "Ba2Li4TlBi3", "functional": "PBE", "state": "optimized geometry", "lattice_angstrom": [[4.988, 0.000, 0.000], [0.000, 4.988, 0.000], [0.000, 0.000, 11.576]], "species": ["Ba", "Ba", "Li", "Li", "Li", "Li", "Tl", "Bi", "Bi", "Bi"], "frac_coords": [[0.000, 0.500, 0.236], [0.500, 0.000, 0.764], [0.000, 0.000, 0.000], [0.000, 0.500, 0.627], [0.500, 0.000, 0.373], [0.500, 0.500, 0.000], [0.000, 0.000, 0.500], [0.000, 0.500, 0.868], [0.500, 0.000, 0.132], [0.500, 0.500, 0.500]], "total_magnetization_mub_per_fu": 0.00, "dft_energy_ev_per_cell": -31.8, "mass_density_g_cm3": 6.54, "ef_mev_per_atom": -625}

***

{"formula": "BaLiTl2Bi", "functional": "PBE", "state": "optimized geometry", "lattice_angstrom": [[5.384, 0.000, 0.000], [0.000, 5.384, 0.000], [0.000, 0.000, 5.458]], "species": ["Ba", "Li", "Tl", "Tl", "Bi"], "frac_coords": [[0.000, 0.000, 0.000], [0.500, 0.500, 0.500], [0.000, 0.500, 0.500], [0.500, 0.000, 0.500], [0.500, 0.500, 0.000]], "total_magnetization_mub_per_fu": 0.00, "dft_energy_ev_per_cell": -14.2, "mass_density_g_cm3": 8.00, "ef_mev_per_atom": -349}